# BaCa2Hg

A relaxed structure of BaCa2Hg (PBE, the Alexandria database).

a = 8.4039 Å, b = 8.4039 Å, c = 8.4039 Å
α = 90.00°, β = 90.00°, γ = 90.00°
Space group F-43m (No. 216)
Symmetry-distinct sites (fractional):
Ba1 0.0000 0.0000 0.0000
Ca1 0.0000 0.0000 0.5000
Ca2 0.2500 0.2500 0.7500
Hg1 0.2500 0.2500 0.2500

Computed properties:
Its total DFT energy (no corrections) is -0.0621 Ha/atom. The value obtained for the formation energy is -0.134 eV per atom. The magnetic moment is 0.00 Bohr magnetons per cell.

# BaCa2Hg

A relaxed structure of BaCa2Hg (PBE, the Alexandria database).

a = 4.1052 Å, b = 6.0470 Å, c = 12.5806 Å
α = 90.00°, β = 90.00°, γ = 90.00°
Space group Imm2 (No. 44)
Symmetry-distinct sites (fractional):
Ba1 0.0000 0.0000 0.0000
Ca1 0.0000 0.0000 0.5945
Ca2 0.0000 0.5000 0.7972
Hg1 0.0000 0.5000 0.2818

Computed properties:
Its total DFT energy (no corrections) is -0.0641 Ha/atom. The value obtained for the formation energy is -0.188 eV per atom. The magnetic moment is 0.00 Bohr magnetons per cell.

# BaCa4Hg2

A relaxed structure of BaCa4Hg2 (PBE, the Alexandria database).

a = 8.6739 Å, b = 7.0424 Å, c = 9.1540 Å
α = 90.00°, β = 111.86°, γ = 90.00°
Space group P2_1/m (No. 11)
Symmetry-distinct sites (fractional):
Ba1 0.0088 0.2500 0.3530
Ca1 0.2417 0.0000 0.0800
Ca2 0.3503 0.2500 0.7689
Ca3 0.3964 0.7500 0.5137
Hg1 0.0201 0.7500 0.2279
Hg2 0.4178 0.7500 0.8689

Computed properties:
Its total DFT energy (no corrections) is -0.0665 Ha/atom. The value obtained for the formation energy is -0.306 eV per atom. The magnetic moment is 0.00 Bohr magnetons per cell.

# Ba3CaHg

A relaxed structure of Ba3CaHg (PBE, the Alexandria database).

a = 4.3171 Å, b = 12.5889 Å, c = 9.3035 Å
α = 90.00°, β = 90.00°, γ = 90.00°
Space group Pmmn (No. 59, origin choice 2)
Symmetry-distinct sites (fractional):
Ba1 0.2500 0.0316 0.2251
Ba2 0.2500 0.7500 0.4869
Ca1 0.2500 0.2500 0.8991
Hg1 0.2500 0.7500 0.8555

Computed properties:
The distance to the lowest polymorph of the same formula comes out at 0.000 eV per atom. Its total DFT energy (no corrections) is -0.0658 Ha/atom. The value obtained for the formation energy is -0.177 eV per atom. The magnetic moment is 0.00 Bohr magnetons per cell.

# Ba5CaHg6

A relaxed structure of Ba5CaHg6 (PBE, the Alexandria database).

a = 5.8598 Å, b = 8.2944 Å, c = 9.2488 Å
α = 90.00°, β = 108.22°, γ = 90.00°
Space group P2/m (No. 10)
Symmetry-distinct sites (fractional):
Ba1 0.0000 0.0000 0.0000
Ba2 0.3311 0.0000 0.6626
Ba3 0.3348 0.5000 0.6694
Ca1 0.0000 0.5000 0.0000
Hg1 0.1613 0.2589 0.3228
Hg2 0.5000 0.2619 0.0000

Computed properties:
Its total DFT energy (no corrections) is -0.0599 Ha/atom. The value obtained for the formation energy is -0.512 eV per atom. The magnetic moment is 0.00 Bohr magnetons per cell.

# BaCa2Hg2

A relaxed structure of BaCa2Hg2 (PBE, the Alexandria database).

a = 4.0011 Å, b = 22.5753 Å, c = 3.8451 Å
α = 90.00°, β = 90.00°, γ = 90.00°
Space group Cmmm (No. 65)
Symmetry-distinct sites (fractional):
Ba1 0.0000 0.0000 0.0000
Ca1 0.0000 0.1771 0.0000
Hg1 0.0000 0.3953 0.5000

Computed properties:
The distance to the lowest polymorph of the same formula comes out at 0.017 eV per atom. Its total DFT energy (no corrections) is -0.0623 Ha/atom. The value obtained for the formation energy is -0.390 eV per atom. The magnetic moment is 0.00 Bohr magnetons per cell.

# Ba2Ca2Hg15

A relaxed structure of Ba2Ca2Hg15 (PBE, the Alexandria database).

a = 10.2960 Å, b = 10.2960 Å, c = 17.6702 Å
α = 90.00°, β = 90.00°, γ = 120.00°
Space group R-3m (No. 166, hexagonal axes)
Symmetry-distinct sites (fractional):
Ba1 0.0000 0.0000 0.1667
Ca1 0.0000 0.0000 0.4006
Hg1 0.0000 0.2921 0.5000
Hg2 0.0000 0.5000 0.0000
Hg3 0.0155 0.5077 0.6321

Computed properties:
Its total DFT energy (no corrections) is -0.0343 Ha/atom. The value obtained for the formation energy is -0.283 eV per atom. The magnetic moment is 0.00 Bohr magnetons per cell.

# BaCa2Hg2

A relaxed structure of BaCa2Hg2 (PBE, the Alexandria database).

a = 8.9745 Å, b = 8.9745 Å, c = 4.2626 Å
α = 90.00°, β = 90.00°, γ = 90.00°
Space group P4/mbm (No. 127)
Symmetry-distinct sites (fractional):
Ba1 0.0000 0.0000 0.0000
Ca1 0.1518 0.3482 0.5000
Hg1 0.1366 0.6366 0.0000

Computed properties:
The distance to the lowest polymorph of the same formula comes out at 0.000 eV per atom. Its total DFT energy (no corrections) is -0.0629 Ha/atom. The value obtained for the formation energy is -0.407 eV per atom. The magnetic moment is 0.00 Bohr magnetons per cell.

# BaCaHg

A relaxed structure of BaCaHg (PBE, the Alexandria database).

a = 4.0436 Å, b = 4.0436 Å, c = 14.0644 Å
α = 90.00°, β = 90.00°, γ = 90.00°
Space group I4mm (No. 107)
Symmetry-distinct sites (fractional):
Ba1 0.0000 0.0000 0.0000
Ca1 0.0000 0.0000 0.7295
Hg1 0.0000 0.0000 0.3415

Computed properties:
The distance to the lowest polymorph of the same formula comes out at 0.000 eV per atom. Its total DFT energy (no corrections) is -0.0649 Ha/atom. The value obtained for the formation energy is -0.358 eV per atom. The magnetic moment is 0.00 Bohr magnetons per cell.

# Ba2CaHg16

A relaxed structure of Ba2CaHg16 (PBE, the Alexandria database).

a = 10.3634 Å, b = 10.3634 Å, c = 17.3964 Å
α = 90.00°, β = 90.00°, γ = 120.00°
Space group R3m (No. 160, hexagonal axes)
Symmetry-distinct sites (fractional):
Ba1 0.0000 0.0000 0.0000
Ba2 0.0000 0.0000 0.3266
Ca1 0.0000 0.0000 0.5832
Hg1 0.0000 0.0000 0.7644
Hg2 0.0347 0.3637 0.3340
Hg3 0.1866 0.3732 0.5152
Hg4 0.1922 0.3844 0.1351
Hg5 0.2043 0.4085 0.8379

Computed properties:
Its total DFT energy (no corrections) is -0.0303 Ha/atom. The value obtained for the formation energy is -0.262 eV per atom. The magnetic moment is 0.00 Bohr magnetons per cell.

# BaCaIn2Hg4

A relaxed structure of BaCaIn2Hg4 (PBE, the Alexandria database).

a = 5.3308 Å, b = 5.3308 Å, c = 27.0670 Å
α = 90.00°, β = 90.00°, γ = 120.00°
Space group R-3m (No. 166, hexagonal axes)
Symmetry-distinct sites (fractional):
Ba1 0.0000 0.0000 0.0000
Ca1 0.0000 0.0000 0.5000
In1 0.0000 0.0000 0.2484
Hg1 0.0000 0.0000 0.1314
Hg2 0.0000 0.0000 0.3842

Computed properties:
Its total DFT energy (no corrections) is -0.0634 Ha/atom. The value obtained for the formation energy is -0.398 eV per atom. The magnetic moment is 0.00 Bohr magnetons per cell.